# 1
# PBE-GGA Ti2NbGe6, optimized geometry
data_Ti2NbGe6
_cell_length_a 4.969
_cell_length_b 8.592
_cell_length_c 6.836
_cell_angle_alpha 90.00
_cell_angle_beta 90.00
_cell_angle_gamma 90.00
_symmetry_space_group_name_H-M 'C 2 2 2'
_symmetry_Int_Tables_number 21
_symmetry_space_group_name_Hall 'C 2 2'
loop_
_atom_site_label
_atom_site_type_symbol
_atom_site_fract_x
_atom_site_fract_y
_atom_site_fract_z
Ti1 Ti 0.250 0.250 0.167
Nb1 Nb 0.000 0.000 0.500
Ge1 Ge 0.000 0.333 0.500
Ge2 Ge 0.246 0.416 0.836
# DFT total energy = -114.4 eV/cell
# energy of formation = -0.40 eV per atom



# 2
# PBE-GGA Ti5Nb5Ge6, optimized geometry
data_Ti5Nb5Ge6
_cell_length_a 5.341
_cell_length_b 13.289
_cell_length_c 7.696
_cell_angle_alpha 90.00
_cell_angle_beta 90.00
_cell_angle_gamma 90.00
_symmetry_space_group_name_H-M 'A m m 2'
_symmetry_Int_Tables_number 38
_symmetry_space_group_name_Hall 'A 2 -2'
loop_
_atom_site_label
_atom_site_type_symbol
_atom_site_fract_x
_atom_site_fract_y
_atom_site_fract_z
Ti1 Ti 0.000 0.000 0.000
Ti2 Ti 0.000 0.128 0.388
Ti3 Ti 0.500 0.129 0.132
Nb1 Nb 0.250 0.167 0.760
Nb2 Nb 0.500 0.000 0.521
Ge1 Ge 0.000 0.000 0.642
Ge2 Ge 0.000 0.191 0.069
Ge3 Ge 0.500 0.000 0.881
Ge4 Ge 0.500 0.193 0.451
# DFT total energy = -252.9 eV/cell
# energy above the lowest structure with this stoichiometry = 23 meV per atom
# energy of formation = -0.56 eV per atom



# 3
# PBE-GGA Ti4NbGe3, optimized geometry
data_Ti4NbGe3
_cell_length_a 10.069
_cell_length_b 10.069
_cell_length_c 5.162
_cell_angle_alpha 90.00
_cell_angle_beta 90.00
_cell_angle_gamma 90.00
_symmetry_space_group_name_H-M 'I 4/m c m'
_symmetry_Int_Tables_number 140
_symmetry_space_group_name_Hall '-I 4 2c'
loop_
_atom_site_label
_atom_site_type_symbol
_atom_site_fract_x
_atom_site_fract_y
_atom_site_fract_z
Ti1 Ti 0.076 0.221 0.000
Nb1 Nb 0.000 0.500 0.250
Ge1 Ge 0.000 0.000 0.250
Ge2 Ge 0.167 0.333 0.500
# DFT total energy = -242.1 eV/cell
# energy of formation = -0.63 eV per atom



Going through the records in order, we get size of the total moment values of 0.00 0.00 0.00 μB per atom.